1.
IrPtW2 | SCAN | single point on PBEsol structure

```
IrPtW2
1.0
2.7453 0.0000 0.0000
0.0000 4.4498 0.0000
0.0000 0.0000 4.8665
Ir Pt W
1 1 2
direct
0.0000 0.0000 0.0000 Ir
0.0000 0.5000 0.6591 Pt
0.5000 0.0000 0.4978 W
0.5000 0.5000 0.1603 W
```

Summary:
The offset from the most stable computed form is 0.000 eV per atom. As for the space group: Pmm2 (25). As for the formation energy: -0.36 eV per atom.

***

2.
IrPtW2 | SCAN | single point on PBEsol structure

```
IrPtW2
1.0
2.7290 0.0000 0.0000
0.0000 3.9991 0.0000
0.0000 0.0000 5.4577
Ir Pt W
1 1 2
direct
0.0000 0.0000 0.0000 Ir
0.0000 0.0000 0.5000 Pt
0.5000 0.5000 0.2431 W
0.5000 0.5000 0.7569 W
```

Summary:
The offset from the most stable computed form is 0.032 eV per atom. As for the space group: Pmmm (47). As for the formation energy: -0.33 eV per atom.

***

3.
YIrPt | SCAN | single point on PBEsol structure

```
YIrPt
1.0
6.2942 0.0000 0.0000
0.0000 6.2942 0.0000
0.0000 0.0000 6.2942
Y Ir Pt
4 4 4
direct
0.0000 0.0000 0.0000 Y
0.0000 0.5000 0.5000 Y
0.5000 0.0000 0.5000 Y
0.5000 0.5000 0.0000 Y
0.2500 0.2500 0.7500 Ir
0.2500 0.7500 0.2500 Ir
0.7500 0.2500 0.2500 Ir
0.7500 0.7500 0.7500 Ir
0.2500 0.2500 0.2500 Pt
0.2500 0.7500 0.7500 Pt
0.7500 0.2500 0.7500 Pt
0.7500 0.7500 0.2500 Pt
```

Summary:
As for the space group: F-43m (216). As for the formation energy: -0.05 eV per atom.

***

4.
Y2IrPt | SCAN | single point on PBEsol structure

```
Y2IrPt
1.0
4.2694 0.0000 0.0000
-2.1347 3.6974 0.0000
0.0000 0.0000 19.5241
Y Ir Pt
6 3 3
direct
0.0000 0.0000 0.0000 Y
0.0000 0.0000 0.1792 Y
0.3333 0.6667 0.6667 Y
0.3333 0.6667 0.8459 Y
0.6667 0.3333 0.3333 Y
0.6667 0.3333 0.5126 Y
0.0000 0.0000 0.7569 Ir
0.3333 0.6667 0.4236 Ir
0.6667 0.3333 0.0902 Ir
0.0000 0.0000 0.4226 Pt
0.3333 0.6667 0.0893 Pt
0.6667 0.3333 0.7559 Pt
```

Summary:
As for the space group: R3m (160). As for the formation energy: -0.83 eV per atom.

***

5.
Y2IrPt | SCAN | single point on PBEsol structure

```
Y2IrPt
1.0
3.4080 0.0000 0.0000
0.0000 3.4080 0.0000
0.0000 0.0000 6.8721
Y Ir Pt
2 1 1
direct
0.0000 0.0000 0.2448 Y
0.0000 0.0000 0.7552 Y
0.5000 0.5000 0.0000 Ir
0.5000 0.5000 0.5000 Pt
```

Summary:
As for the space group: P4/mmm (123). As for the formation energy: -1.20 eV per atom.

***

6.
Y2IrPt | SCAN | single point on PBEsol structure

```
Y2IrPt
1.0
6.6868 0.0000 0.0000
0.0000 6.6868 0.0000
0.0000 0.0000 6.6868
Y Ir Pt
8 4 4
direct
0.0000 0.0000 0.0000 Y
0.0000 0.5000 0.5000 Y
0.2500 0.2500 0.2500 Y
0.2500 0.7500 0.7500 Y
0.5000 0.0000 0.5000 Y
0.5000 0.5000 0.0000 Y
0.7500 0.2500 0.7500 Y
0.7500 0.7500 0.2500 Y
0.2500 0.2500 0.7500 Ir
0.2500 0.7500 0.2500 Ir
0.7500 0.2500 0.2500 Ir
0.7500 0.7500 0.7500 Ir
0.0000 0.0000 0.5000 Pt
0.0000 0.5000 0.0000 Pt
0.5000 0.0000 0.0000 Pt
0.5000 0.5000 0.5000 Pt
```

Summary:
As for the space group: F-43m (216). As for the formation energy: -0.62 eV per atom.

***

7.
Y2IrPt | SCAN | single point on PBEsol structure

```
Y2IrPt
1.0
4.1930 0.0000 0.0000
0.0000 3.8020 0.0000
0.0000 0.0000 10.5769
Y Ir Pt
4 2 2
direct
0.0000 0.0000 0.0000 Y
0.0000 0.5000 0.5000 Y
0.5000 0.0000 0.2864 Y
0.5000 0.5000 0.7864 Y
0.0000 0.0000 0.7291 Ir
0.0000 0.5000 0.2291 Ir
0.5000 0.0000 0.5608 Pt
0.5000 0.5000 0.0608 Pt
```

Summary:
As for the space group: Amm2 (38). As for the formation energy: -1.19 eV per atom.

***

8.
Zn2IrPt | SCAN | single point on PBEsol structure

```
Zn2IrPt
1.0
9.6925 0.0000 0.0000
0.0000 2.7832 0.0000
-1.8473 0.0000 4.1295
Zn Ir Pt
4 2 2
direct
0.0000 0.0000 0.0000 Zn
0.2369 0.0000 0.5738 Zn
0.5000 0.5000 0.0000 Zn
0.7369 0.5000 0.5738 Zn
0.4916 0.0000 0.5028 Ir
0.9916 0.5000 0.5028 Ir
0.2490 0.5000 0.0776 Pt
0.7490 0.0000 0.0776 Pt
```

Summary:
As for the space group: Cm (8). As for the formation energy: -0.32 eV per atom.

***

9.
Zn2IrPt | SCAN | single point on PBEsol structure

```
Zn2IrPt
1.0
4.1845 0.0000 0.0000
0.0000 4.1845 0.0000
0.0000 0.0000 3.1128
Zn Ir Pt
2 1 1
direct
0.0000 0.5000 0.0000 Zn
0.5000 0.0000 0.0000 Zn
0.0000 0.0000 0.5000 Ir
0.5000 0.5000 0.5000 Pt
```

Summary:
As for the space group: P4/mmm (123). As for the formation energy: -0.39 eV per atom.

***

10.
ZnIrPt2 | SCAN | single point on PBEsol structure

```
ZnIrPt2
1.0
5.5163 0.0000 0.0000
0.0000 7.5789 0.0000
0.0000 0.0000 2.7324
Zn Ir Pt
2 2 4
direct
0.0000 0.0000 0.0000 Zn
0.5000 0.5000 0.0000 Zn
0.0000 0.5000 0.0000 Ir
0.5000 0.0000 0.0000 Ir
0.2500 0.2500 0.5000 Pt
0.2500 0.7500 0.5000 Pt
0.7500 0.2500 0.5000 Pt
0.7500 0.7500 0.5000 Pt
```

Summary:
As for the space group: Cmmm (65). As for the formation energy: -0.27 eV per atom.

***

11.
Zn2IrPt | SCAN | single point on PBEsol structure

```
Zn2IrPt
1.0
2.8164 0.0000 0.0000
0.0000 4.6789 0.0000
0.0000 0.0000 8.5781
Zn Ir Pt
4 2 2
direct
0.0000 0.0000 0.2490 Zn
0.0000 0.0000 0.7510 Zn
0.5000 0.5000 0.2510 Zn
0.5000 0.5000 0.7490 Zn
0.0000 0.5000 0.5000 Ir
0.5000 0.0000 0.0000 Ir
0.0000 0.5000 0.0000 Pt
0.5000 0.0000 0.5000 Pt
```

Summary:
As for the space group: Immm (71). As for the formation energy: -0.21 eV per atom.

***

12.
ZnIrPt | SCAN | single point on PBEsol structure

```
ZnIrPt
1.0
2.7079 0.0000 0.0000
0.0000 3.7655 0.0000
0.0000 0.0000 8.3444
Zn Ir Pt
2 2 2
direct
0.0000 0.0000 0.0000 Zn
0.5000 0.5000 0.5000 Zn
0.0000 0.0000 0.3404 Ir
0.5000 0.5000 0.8404 Ir
0.0000 0.0000 0.6647 Pt
0.5000 0.5000 0.1647 Pt
```

Summary:
As for the space group: Imm2 (44). As for the formation energy: -0.04 eV per atom.

***

no.,uncorrected energy (Ha/atom),DOS(E_F) (states/eV/cell),magnetization (μB per cell)
1,-2.592,1.80,0.0
2,-2.591,1.64,0.0
3,-2.074,5.60,0.0
4,-1.840,7.56,0.0
5,-1.854,3.19,0.0
6,-1.832,16.29,0.0
7,-1.854,2.93,0.0
8,-1.558,4.40,0.0
9,-1.561,1.10,0.0
10,-2.077,4.78,0.0
11,-1.554,3.46,0.0
12,-1.898,6.34,0.0